Record 1
The following is a DFT calculation (PBE-GGA) of a relaxed structure of ScAlP2S.

The volume is 23.96 Å³ per atom. The value obtained for the relative energy among the computed polymorphs is 292 meV per atom. The value obtained for the total magnetic moment is 0.000 μB per formula unit. Its formation energy from raw total energies is 0.257 eV per atom.

It has space group P4/mmm (No. 123), with a = 4.970 Å, b = 4.970 Å, c = 4.850 Å, α = 90.00°, β = 90.00° and γ = 90.00°. The distinct sites, in fractional coordinates, are Sc at (0.000, 0.000, 0.000), Al at (0.500, 0.500, 0.500), P at (0.000, 0.500, 0.000) and S at (0.000, 0.000, 0.500).

Record 2
The following is a DFT calculation (PBE-GGA) of a relaxed structure of ScAlP2S.

The volume is 19.70 Å³ per atom. The value obtained for the relative energy among the computed polymorphs is 0 meV per atom. The value obtained for the total magnetic moment is 0.000 μB per formula unit. Its formation energy from raw total energies is -0.035 eV per atom.

It has space group P4/mmm (No. 123), with a = 4.596 Å, b = 4.596 Å, c = 4.665 Å, α = 90.00°, β = 90.00° and γ = 90.00°. The distinct sites, in fractional coordinates, are Sc at (0.000, 0.000, 0.000), Al at (0.500, 0.500, 0.500), P at (0.000, 0.500, 0.500) and S at (0.500, 0.500, 0.000).

Record 3
The following is a DFT calculation (PBE-GGA) of a relaxed structure of Al2PSeS.

The volume is 24.08 Å³ per atom. The value obtained for the total magnetic moment is 0.000 μB per formula unit. Its formation energy from raw total energies is 0.837 eV per atom.

It has space group P4/mmm (No. 123), with a = 5.154 Å, b = 5.154 Å, c = 4.532 Å, α = 90.00°, β = 90.00° and γ = 90.00°. The distinct sites, in fractional coordinates, are Al at (0.000, 0.500, 0.000), P at (0.000, 0.000, 0.500), Se at (0.000, 0.000, 0.000) and S at (0.500, 0.500, 0.500).

Record 4
The following is a DFT calculation (PBE-GGA) of a relaxed structure of AlSiPS.

The volume is 24.42 Å³ per atom. The value obtained for the total magnetic moment is 0.000 μB per formula unit. Its formation energy from raw total energies is -0.514 eV per atom.

It has space group P3m1 (No. 156), with a = 3.5702 Å, b = 3.5702 Å, c = 8.8495 Å, α = 90.00°, β = 90.00° and γ = 120.00°. The distinct sites, in fractional coordinates, are Al at (0.0000, 0.0000, 0.0000), Si at (0.0000, 0.0000, 0.7233), P at (0.6667, 0.3333, 0.6090) and S at (0.3333, 0.6667, 0.1184).

Record 5
The following is a DFT calculation (PBE-GGA) of a relaxed structure of AlSnPS2.

The volume is 24.69 Å³ per atom. The value obtained for the relative energy among the computed polymorphs is 409 meV per atom. The value obtained for the total magnetic moment is 1.025 μB per formula unit. Its formation energy from raw total energies is 0.417 eV per atom.

It has space group P4/mmm (No. 123), with a = 4.372 Å, b = 4.372 Å, c = 6.459 Å, α = 90.00°, β = 90.00° and γ = 90.00°. The distinct sites, in fractional coordinates, are Al at (0.000, 0.000, 0.000), Sn at (0.000, 0.000, 0.500), P at (0.500, 0.500, 0.500) and S at (0.000, 0.500, 0.000).

Record 6
The following is a DFT calculation (PBE-GGA) of a relaxed structure of AlSnPS2.

The volume is 20.63 Å³ per atom. The value obtained for the relative energy among the computed polymorphs is 0 meV per atom. The value obtained for the total magnetic moment is 0.000 μB per formula unit. Its formation energy from raw total energies is 0.008 eV per atom.

It has space group P4/mmm (No. 123), with a = 4.664 Å, b = 4.664 Å, c = 4.741 Å, α = 90.00°, β = 90.00° and γ = 90.00°. The distinct sites, in fractional coordinates, are Al at (0.000, 0.000, 0.000), Sn at (0.500, 0.500, 0.500), P at (0.000, 0.000, 0.500) and S at (0.000, 0.500, 0.000).

Record 7
The following is a DFT calculation (PBE-GGA) of a relaxed structure of SrAlPS2.

The volume is 37.26 Å³ per atom. The value obtained for the relative energy among the computed polymorphs is 1348 meV per atom. The value obtained for the total magnetic moment is 3.992 μB per formula unit. Its formation energy from raw total energies is 0.629 eV per atom.

It has space group P4/mmm (No. 123), with a = 5.614 Å, b = 5.614 Å, c = 5.910 Å, α = 90.00°, β = 90.00° and γ = 90.00°. The distinct sites, in fractional coordinates, are Sr at (0.000, 0.000, 0.000), Al at (0.500, 0.500, 0.500), P at (0.000, 0.000, 0.500) and S at (0.000, 0.500, 0.000).

Record 8
The following is a DFT calculation (PBE-GGA) of a relaxed structure of SrAlP2S8.

The volume is 21.52 Å³ per atom. The value obtained for the total magnetic moment is 0.006 μB per formula unit. Its formation energy from raw total energies is -0.597 eV per atom.

It has space group P-3 (No. 147), with a = 5.8863 Å, b = 5.8863 Å, c = 8.6072 Å, α = 90.00°, β = 90.00° and γ = 120.00°. The distinct sites, in fractional coordinates, are Sr at (0.0000, 0.0000, 0.0000), Al at (0.0000, 0.0000, 0.5000), P at (0.3333, 0.6667, 0.7381), S at (0.9996, 0.3179, 0.6789) and S at (0.3333, 0.6667, 0.9751).

Record 9
The following is a DFT calculation (PBE-GGA) of a relaxed structure of SrAlP2S.

The volume is 21.85 Å³ per atom. The value obtained for the relative energy among the computed polymorphs is 0 meV per atom. The value obtained for the total magnetic moment is 0.000 μB per formula unit. Its formation energy from raw total energies is -0.382 eV per atom.

It has space group P4/mmm (No. 123), with a = 4.692 Å, b = 4.692 Å, c = 4.964 Å, α = 90.00°, β = 90.00° and γ = 90.00°. The distinct sites, in fractional coordinates, are Sr at (0.000, 0.000, 0.000), Al at (0.500, 0.500, 0.500), P at (0.000, 0.500, 0.500) and S at (0.500, 0.500, 0.000).

Record 10
The following is a DFT calculation (PBE-GGA) of a relaxed structure of SrAlPS2.

The volume is 21.78 Å³ per atom. The value obtained for the relative energy among the computed polymorphs is 0 meV per atom. The value obtained for the total magnetic moment is 0.655 μB per formula unit. Its formation energy from raw total energies is -0.719 eV per atom.

It has space group P4/mmm (No. 123), with a = 4.857 Å, b = 4.857 Å, c = 4.616 Å, α = 90.00°, β = 90.00° and γ = 90.00°. The distinct sites, in fractional coordinates, are Sr at (0.000, 0.000, 0.000), Al at (0.500, 0.500, 0.500), P at (0.500, 0.500, 0.000) and S at (0.000, 0.500, 0.500).

Record 11
The following is a DFT calculation (PBE-GGA) of a relaxed structure of SrAlP2S.

The volume is 34.56 Å³ per atom. The value obtained for the relative energy among the computed polymorphs is 1389 meV per atom. The value obtained for the total magnetic moment is 1.830 μB per formula unit. Its formation energy from raw total energies is 1.007 eV per atom.

It has space group P4/mmm (No. 123), with a = 5.605 Å, b = 5.605 Å, c = 5.501 Å, α = 90.00°, β = 90.00° and γ = 90.00°. The distinct sites, in fractional coordinates, are Sr at (0.000, 0.000, 0.000), Al at (0.500, 0.500, 0.500), P at (0.000, 0.500, 0.000) and S at (0.000, 0.000, 0.500).

Record 12
The following is a DFT calculation (PBE-GGA) of a relaxed structure of TaAlP2S.

The volume is 22.50 Å³ per atom. The value obtained for the relative energy among the computed polymorphs is 0 meV per atom. The value obtained for the total magnetic moment is 0.000 μB per formula unit. Its formation energy from raw total energies is 0.217 eV per atom.

It has space group P4/mmm (No. 123), with a = 4.881 Å, b = 4.881 Å, c = 4.722 Å, α = 90.00°, β = 90.00° and γ = 90.00°. The distinct sites, in fractional coordinates, are Ta at (0.000, 0.000, 0.000), Al at (0.500, 0.500, 0.500), P at (0.000, 0.500, 0.000) and S at (0.000, 0.000, 0.500).

Record 13
The following is a DFT calculation (PBE-GGA) of a relaxed structure of TaAlP2S.

The volume is 18.38 Å³ per atom. The value obtained for the relative energy among the computed polymorphs is 578 meV per atom. The value obtained for the total magnetic moment is 0.000 μB per formula unit. Its formation energy from raw total energies is 0.795 eV per atom.

It has space group P4/mmm (No. 123), with a = 4.535 Å, b = 4.535 Å, c = 4.468 Å, α = 90.00°, β = 90.00° and γ = 90.00°. The distinct sites, in fractional coordinates, are Ta at (0.000, 0.000, 0.000), Al at (0.500, 0.500, 0.500), P at (0.000, 0.500, 0.500) and S at (0.500, 0.500, 0.000).

Record 14
The following is a DFT calculation (PBE-GGA) of a relaxed structure of AlTcPS2.

The volume is 19.40 Å³ per atom. The value obtained for the relative energy among the computed polymorphs is 340 meV per atom. The value obtained for the total magnetic moment is 3.076 μB per formula unit. Its formation energy from raw total energies is 0.724 eV per atom.

It has space group P4/mmm (No. 123), with a = 4.552 Å, b = 4.552 Å, c = 4.680 Å, α = 90.00°, β = 90.00° and γ = 90.00°. The distinct sites, in fractional coordinates, are Al at (0.000, 0.000, 0.000), Tc at (0.500, 0.500, 0.500), P at (0.000, 0.000, 0.500) and S at (0.000, 0.500, 0.000).